Record 1
# AcTaN4 (PBE, optimized geometry)
# total energy: -0.6354 Ry/atom
# symmetry: P2/m (10)
# ΔE_f (raw): -434 meV/atom
data_AcTaN4
_chemical_formula_sum 'Ac1 Ta1 N4'
_symmetry_space_group_name_H-M 'P 1'
_symmetry_Int_Tables_number 1
_cell_length_a 4.187
_cell_length_b 4.155
_cell_length_c 4.780
_cell_angle_alpha 88.70
_cell_angle_beta 90.00
_cell_angle_gamma 90.00
loop_
_symmetry_equiv_pos_as_xyz
'x,y,z'
loop_
_atom_site_label
_atom_site_type_symbol
_atom_site_fract_x
_atom_site_fract_y
_atom_site_fract_z
N1 N 0.001 0.472 0.349
Ta1 Ta 0.001 0.997 0.498
N2 N 0.501 0.929 0.367
N3 N 0.501 0.066 0.629
Ac1 Ac 0.501 0.497 0.998
N4 N 0.001 0.523 0.647

Record 2
# Ac2CuSn8 (PBE, optimized geometry)
# total energy: -0.3194 Ry/atom
# symmetry: P4/mmm (123)
# calculated formation energy: -0.3149 eV/atom
data_Ac2CuSn8
_chemical_formula_sum 'Ac2 Cu1 Sn8'
_symmetry_space_group_name_H-M 'P 1'
_symmetry_Int_Tables_number 1
_cell_length_a 4.917
_cell_length_b 4.917
_cell_length_c 12.848
_cell_angle_alpha 90.00
_cell_angle_beta 90.00
_cell_angle_gamma 90.00
loop_
_symmetry_equiv_pos_as_xyz
'x,y,z'
loop_
_atom_site_label
_atom_site_type_symbol
_atom_site_fract_x
_atom_site_fract_y
_atom_site_fract_z
Sn1 Sn 0.500 0.000 0.500
Ac1 Ac 0.000 0.000 0.692
Sn2 Sn 0.000 0.500 0.117
Sn3 Sn 0.000 0.500 0.883
Sn4 Sn 0.500 0.000 0.117
Cu1 Cu 0.000 0.000 0.000
Sn5 Sn 0.500 0.000 0.883
Ac2 Ac 0.000 0.000 0.308
Sn6 Sn 0.000 0.500 0.500
Sn7 Sn 0.500 0.500 0.689
Sn8 Sn 0.500 0.500 0.311

Record 3
# Pr2SeO (PBE, optimized geometry)
# total energy: -0.4748 Ry/atom
# symmetry: R3m (160)
# ΔE_f (raw): -1960 meV/atom
# E above lowest polymorph: 92 kJ/mol of formula units
data_Pr2SeO
_chemical_formula_sum 'Pr2 Se1 O1'
_symmetry_space_group_name_H-M 'P 1'
_symmetry_Int_Tables_number 1
_cell_length_a 3.763
_cell_length_b 3.763
_cell_length_c 7.521
_cell_angle_alpha 75.51
_cell_angle_beta 75.51
_cell_angle_gamma 60.00
loop_
_symmetry_equiv_pos_as_xyz
'x,y,z'
loop_
_atom_site_label
_atom_site_type_symbol
_atom_site_fract_x
_atom_site_fract_y
_atom_site_fract_z
O1 O 0.498 0.498 0.507
Pr1 Pr 0.242 0.242 0.273
Pr2 Pr 0.092 0.092 0.723
Se1 Se 0.667 0.667 0.998

Record 4
# SrSiRu3 (PBE, optimized geometry)
# total energy: -0.4888 Ry/atom
# symmetry: Pm-3m (221)
# ΔE_f (raw): 336 meV/atom
# E above lowest polymorph: 0 kJ/mol of formula units
data_SrSiRu3
_chemical_formula_sum 'Sr1 Si1 Ru3'
_symmetry_space_group_name_H-M 'P 1'
_symmetry_Int_Tables_number 1
_cell_length_a 4.558
_cell_length_b 4.558
_cell_length_c 4.558
_cell_angle_alpha 90.00
_cell_angle_beta 90.00
_cell_angle_gamma 90.00
loop_
_symmetry_equiv_pos_as_xyz
'x,y,z'
loop_
_atom_site_label
_atom_site_type_symbol
_atom_site_fract_x
_atom_site_fract_y
_atom_site_fract_z
Si1 Si 0.000 0.000 0.000
Ru1 Ru 0.000 0.000 0.500
Ru2 Ru 0.500 0.000 0.000
Sr1 Sr 0.500 0.500 0.500
Ru3 Ru 0.000 0.500 0.000

Record 5
# TiRhO2F (PBE, optimized geometry)
# total energy: -0.5130 Ry/atom
# symmetry: P4/mmm (123)
# ΔE_f (raw): -1573 meV/atom
data_TiRhO2F
_chemical_formula_sum 'Ti1 Rh1 O2 F1'
_symmetry_space_group_name_H-M 'P 1'
_symmetry_Int_Tables_number 1
_cell_length_a 3.902
_cell_length_b 3.902
_cell_length_c 3.913
_cell_angle_alpha 90.00
_cell_angle_beta 90.00
_cell_angle_gamma 90.00
loop_
_symmetry_equiv_pos_as_xyz
'x,y,z'
loop_
_atom_site_label
_atom_site_type_symbol
_atom_site_fract_x
_atom_site_fract_y
_atom_site_fract_z
O1 O 0.500 0.000 0.000
O2 O 0.000 0.500 0.000
Rh1 Rh 0.500 0.500 0.500
Ti1 Ti 0.000 0.000 0.000
F1 F 0.000 0.000 0.500

Record 6
# PbIBr2 (PBE, optimized geometry)
# total energy: -0.1910 Ry/atom
# symmetry: R-3m (166)
# ΔE_f (raw): -447 meV/atom
# E above lowest polymorph: 85 kJ/mol of formula units
data_PbIBr2
_chemical_formula_sum 'Pb1 I1 Br2'
_symmetry_space_group_name_H-M 'P 1'
_symmetry_Int_Tables_number 1
_cell_length_a 12.496
_cell_length_b 12.496
_cell_length_c 12.496
_cell_angle_alpha 19.68
_cell_angle_beta 19.68
_cell_angle_gamma 19.68
loop_
_symmetry_equiv_pos_as_xyz
'x,y,z'
loop_
_atom_site_label
_atom_site_type_symbol
_atom_site_fract_x
_atom_site_fract_y
_atom_site_fract_z
Br1 Br 0.118 0.118 0.118
Br2 Br 0.882 0.882 0.882
Pb1 Pb 0.500 0.500 0.500
I1 I 0.000 0.000 0.000

Record 7
# CrHgS2Cl (PBE, optimized geometry)
# total energy: -0.3006 Ry/atom
# symmetry: P4/mmm (123)
# ΔE_f (raw): -84 meV/atom
# E above lowest polymorph: 0 kJ/mol of formula units
data_CrHgS2Cl
_chemical_formula_sum 'Cr1 Hg1 S2 Cl1'
_symmetry_space_group_name_H-M 'P 1'
_symmetry_Int_Tables_number 1
_cell_length_a 4.627
_cell_length_b 4.627
_cell_length_c 4.848
_cell_angle_alpha 90.00
_cell_angle_beta 90.00
_cell_angle_gamma 90.00
loop_
_symmetry_equiv_pos_as_xyz
'x,y,z'
loop_
_atom_site_label
_atom_site_type_symbol
_atom_site_fract_x
_atom_site_fract_y
_atom_site_fract_z
Cl1 Cl 0.000 0.000 0.500
Cr1 Cr 0.000 0.000 0.000
S1 S 0.000 0.500 0.000
Hg1 Hg 0.500 0.500 0.500
S2 S 0.500 0.000 0.000

Record 8
# KPb4Au (PBE, optimized geometry)
# total energy: -0.2442 Ry/atom
# symmetry: Cmcm (63)
# E above lowest polymorph: 0 kJ/mol of formula units
# calculated formation energy: -0.1210 eV/atom
data_KPb4Au
_chemical_formula_sum 'K2 Pb8 Au2'
_symmetry_space_group_name_H-M 'P 1'
_symmetry_Int_Tables_number 1
_cell_length_a 5.036
_cell_length_b 7.696
_cell_length_c 9.898
_cell_angle_alpha 90.00
_cell_angle_beta 104.74
_cell_angle_gamma 90.00
loop_
_symmetry_equiv_pos_as_xyz
'x,y,z'
loop_
_atom_site_label
_atom_site_type_symbol
_atom_site_fract_x
_atom_site_fract_y
_atom_site_fract_z
Pb1 Pb 0.683 0.959 0.365
Pb2 Pb 0.500 0.000 0.000
K1 K 0.873 0.750 0.746
Pb3 Pb 0.317 0.459 0.635
Pb4 Pb 0.062 0.750 0.123
Au1 Au 0.215 0.750 0.431
Au2 Au 0.785 0.250 0.569
Pb5 Pb 0.683 0.541 0.365
Pb6 Pb 0.500 0.500 0.000
Pb7 Pb 0.938 0.250 0.877
Pb8 Pb 0.317 0.041 0.635
K2 K 0.127 0.250 0.254